Record 1
Entry from Alexandria: a relaxed K2H2PdF6 crystal (GGA-PBE).

Structure (POSCAR):
```
K2H2PdF6
1.0
5.3614 0.0000 0.0000
2.6807 4.6431 0.0000
2.6807 1.5477 5.7736
K H Pd F
2 2 1 6
Cartesian
8.0421 4.6431 3.7994
2.6807 1.5477 1.9743
5.3614 3.0954 4.4302
5.3614 3.0954 1.3435
0.0000 0.0000 0.0000
6.5538 3.7838 1.3910
4.1690 3.7838 1.3910
5.3614 1.7185 1.3910
5.3614 4.4723 4.3826
6.5538 2.4070 4.3826
4.1690 2.4070 4.3826
```

Summary:
Space group: No. 166
E, Ry/atom: -0.299
Magnetic moment, μB per cell: 2.00



Record 2
Entry from Alexandria: a relaxed KH2PtF8 crystal (GGA-PBE).

Structure (POSCAR):
```
KH2PtF8
1.0
4.8516 0.8982 0.3477
0.8924 4.8698 -0.1101
0.6053 -0.1290 7.6752
K H Pt F
1 2 1 8
Cartesian
0.3026 -0.0645 3.8376
2.3119 2.3878 5.4067
4.0374 3.2512 2.5060
0.0000 0.0000 0.0000
1.8313 3.8849 1.2506
4.3921 4.4264 0.2092
3.9387 1.8159 1.8265
4.5180 1.7541 6.6621
1.9572 1.2127 7.7035
2.4106 3.8232 6.0863
4.0858 3.8795 3.2421
2.2635 1.7596 4.6706
```

Summary:
Space group: No. 2
E, Ry/atom: -0.299
Magnetic moment, μB per cell: 1.08



Record 3
Entry from Alexandria: a relaxed KPuH2F8 crystal (GGA-PBE).

Structure (POSCAR):
```
KPuH2F8
1.0
-4.0876 -2.6794 -0.2870
-0.7499 -2.1550 4.4791
-5.1227 6.1225 1.4169
K Pu H F
1 1 2 8
Cartesian
-2.5614 3.0613 0.7085
0.0000 0.0000 0.0000
-5.1307 2.2674 2.9131
-4.8296 -0.9793 2.6959
-2.3421 -1.1283 3.6892
-3.5941 -3.5996 3.1812
-4.3472 -1.2525 1.3069
-7.6181 2.4164 1.9198
-6.3661 4.8878 2.4278
-5.6131 2.5407 4.3021
-5.2856 -0.6989 3.5174
-4.6746 1.9871 2.0915
```

Summary:
Space group: No. 2
E, Ry/atom: -0.419
Magnetic moment, μB per cell: 3.00



Record 4
Entry from Alexandria: a relaxed KRb2HF6 crystal (GGA-PBE).

Structure (POSCAR):
```
KRb2HF6
1.0
-2.2907 -3.4367 -4.0716
5.3203 -1.7164 -1.5445
1.2413 -6.6776 0.8074
H K Rb F
1 1 2 6
Cartesian
1.5148 -2.5765 -2.8081
0.0000 0.0000 0.0000
0.2326 -6.3454 -3.0362
4.0381 -5.4853 -1.7726
1.3645 -4.8290 -0.8223
2.9062 -7.0017 -3.9864
0.9490 -1.6143 -1.7593
2.0805 -3.5388 -3.8568
0.0935 -2.8978 -3.2800
2.9360 -2.2553 -2.3362
```

Summary:
Space group: No. 139
E, Ry/atom: -0.255
Magnetic moment, μB per cell: 2.04



Record 5
Entry from Alexandria: a relaxed KReH2F crystal (GGA-PBE).

Structure (POSCAR):
```
KReH2F
1.0
4.4327 0.0000 0.0000
0.0000 4.6354 0.0000
0.0000 0.0000 4.4327
Re K H F
1 1 2 1
Cartesian
2.2163 2.3177 2.2163
0.0000 0.0000 0.0000
0.0000 0.0000 2.2163
2.2163 0.0000 0.0000
0.0000 2.3177 0.0000
```

Summary:
Space group: No. 123
E, Ry/atom: -0.237
Magnetic moment, μB per cell: 5.00



Record 6
Entry from Alexandria: a relaxed KH2RhF8 crystal (GGA-PBE).

Structure (POSCAR):
```
KH2RhF8
1.0
-3.9909 -2.9148 0.1346
1.3318 -4.7286 0.2427
-1.1997 0.2058 7.5477
K H Rh F
1 2 1 8
Cartesian
-0.5999 0.1029 3.7738
-1.4798 -2.8976 5.4126
-2.3790 -4.5400 2.5125
0.0000 0.0000 0.0000
-0.0317 -4.1942 1.4600
-2.0221 -5.8825 0.3238
-2.8832 -3.2829 1.6886
-3.8270 -3.2434 6.4651
-1.8367 -1.5551 7.6013
-0.9756 -4.1547 6.2365
-2.2209 -5.0878 3.2965
-1.6379 -2.3498 4.6286
```

Summary:
Space group: No. 2
E, Ry/atom: -0.312
Magnetic moment, μB per cell: 2.00